First-principles (PBE-GGA) data for a relaxed Cs2CuAg2Br6 crystal, as listed in Alexandria.

Structure (CIF):
```
data_Cs2CuAg2Br6
_symmetry_space_group_name_H-M 'C 1 2/m 1'
_symmetry_Int_Tables_number 12
_cell_length_a 16.226
_cell_length_b 7.553
_cell_length_c 6.706
_cell_angle_alpha 90.00
_cell_angle_beta 103.16
_cell_angle_gamma 90.00
loop_
_symmetry_equiv_pos_as_xyz
'x,y,z'
'-x,-y,-z'
'-x,y,-z'
'x,-y,z'
'x+1/2,y+1/2,z'
'-x+1/2,-y+1/2,-z'
'-x+1/2,y+1/2,-z'
'x+1/2,-y+1/2,z'
loop_
_atom_site_label
_atom_site_type_symbol
_atom_site_fract_x
_atom_site_fract_y
_atom_site_fract_z
_atom_site_occupancy
Cs1 Cs 0.213 0.000 0.207 1
Cu1 Cu 0.000 0.000 0.500 1
Ag1 Ag 0.031 0.500 0.245 1
Br1 Br 0.071 0.225 0.741 1
Br2 Br 0.190 0.500 0.247 1
```

Properties
VASP energy (eV/cell): -61.72
E_form (uncorrected) (eV per atom): -0.847